Record 1
# Pm2AlZnNi6, relaxed, DFT PBE-GGA
# - magnetization (Bohr magnetons per cell) = 0.0
# - electronic total energy (eV per cell) = -105.0
# - energy of formation (eV/atom) = -0.33
# - calculated density (Mg/m³) = 7.35
data_Pm2AlZnNi6
_cell_length_a 11.549
_cell_length_b 4.930
_cell_length_c 8.179
_cell_angle_alpha 90.00
_cell_angle_beta 134.57
_cell_angle_gamma 90.00
_space_group_name_H-M_alt 'C 1 2/m 1'
_space_group_IT_number 12
_space_group_name_Hall '-C 2y'
loop_
_atom_site_label
_atom_site_fract_x
_atom_site_fract_y
_atom_site_fract_z
Pm1 0.245 0.000 0.195
Al1 0.000 0.000 0.500
Zn1 0.000 0.500 0.000
Ni1 0.012 0.252 0.266
Ni2 0.250 0.000 0.573

=====

Record 2
# Sm2Al2Ga3, relaxed, DFT PBE-GGA
# - magnetization (Bohr magnetons per cell) = 0.0
# - electronic total energy (eV per cell) = -118.4
# - energy of formation (eV/atom) = -0.51
# - distance to the lowest polymorph of the same formula (eV per atom) = 0.000
# - calculated density (Mg/m³) = 6.32
data_Sm2Al2Ga3
_cell_length_a 4.299
_cell_length_b 19.132
_cell_length_c 7.201
_cell_angle_alpha 90.00
_cell_angle_beta 90.00
_cell_angle_gamma 90.00
_space_group_name_H-M_alt 'C m c m'
_space_group_IT_number 63
_space_group_name_Hall '-C 2c 2'
loop_
_atom_site_label
_atom_site_fract_x
_atom_site_fract_y
_atom_site_fract_z
Sm1 0.000 0.054 0.250
Sm2 0.000 0.157 0.750
Al1 0.000 0.323 0.567
Ga1 0.000 0.224 0.250
Ga2 0.000 0.443 0.077